A crystal of AlSbP2 relaxed with PBEsol. Source: the Alexandria database, functional meta-GGA SCAN.

abc: 4.6221 4.6221 4.6221
angles: 109.72 109.72 108.98
Last column: nearest neighbours and their distance in Å.
Atoms (fractional coordinates):
Al1 0.0000 0.0000 0.0000  4 P 2.66, 2 Sb 2.68
Sb1 0.5000 0.5000 0.0000  4 P 2.66, 2 Al 2.68
P1 0.0000 0.5000 0.5000  2 Sb 2.66, 2 Al 2.66, 2 P 2.68
P2 0.5000 0.0000 0.5000  2 Sb 2.66, 2 Al 2.66, 2 P 2.68

Computed properties:
* distance to the lowest polymorph of the same formula: 214 meV per atom
* uncorrected formation energy: 0.1164 eV/atom
* M_tot: 0.000 μB/f.u.